1 | The following is a PBE calculation of a relaxed Fe2AgRh2 crystal, from the Alexandria database.

Unit cell a=7.298 b=7.298 c=2.783 alpha=90.00 beta=90.00 gamma=90.00
Fractional coordinates of all 10 atoms:
Fe 0.159 0.341 0.000
Fe 0.341 0.841 0.000
Fe 0.659 0.159 0.000
Fe 0.841 0.659 0.000
Ag 0.000 0.000 0.500
Ag 0.500 0.500 0.500
Rh 0.136 0.636 0.500
Rh 0.364 0.136 0.500
Rh 0.636 0.864 0.500
Rh 0.864 0.364 0.500

Properties
Density of states at the Fermi level, states/eV/cell: 9.34

***

2 | The following is a PBE calculation of a relaxed Fe2AgRh2 crystal, from the Alexandria database.

Unit cell a=5.732 b=5.732 c=5.732 alpha=140.59 beta=140.59 gamma=56.95
Fractional coordinates of all 5 atoms:
Fe 0.102 0.102 0.000
Fe 0.898 0.898 0.000
Ag 0.500 0.500 0.000
Rh 0.250 0.750 0.500
Rh 0.750 0.250 0.500

Properties
Density of states at the Fermi level, states/eV/cell: 6.92

***

Energy above the most stable structure, in meV per atom: 1 0; 2 272